No. 1
Y2ErRu: optimized geometry, PBE-GGA.

a b c (Å): 3.4424 3.4424 8.8597
angles (deg): 90.00 90.00 90.00
Closest atoms and distances in Å follow each position.
Space group P4/mmm (No. 123)
Unique sites:
Y: 0.0000 0.0000 0.1869 (multiplicity 2)  4 Ru 2.94
Er: 0.5000 0.5000 0.5000 (multiplicity 1)  4 Er 3.44, 8 Y 3.69
Ru: 0.5000 0.5000 0.0000 (multiplicity 1)  8 Y 2.94

Computed properties:
V: 26.25 Å³/atom
Energy of formation: -0.170 eV/atom
Total DFT energy (no corrections): -6.86 eV/atom

***

No. 2
Y3ErRu: optimized geometry, PBE-GGA.

a b c (Å): 11.9795 3.9206 12.8501
angles (deg): 90.00 113.18 90.00
Closest atoms and distances in Å follow each position.
Space group Cm (No. 8)
Unique sites:
Y: 0.0000 0.0000 0.0000 (multiplicity 2)  1 Ru 3.07, 2 Er 3.42
Y: 0.0260 0.0000 0.3801 (multiplicity 2)  2 Ru 2.80
Y: 0.1896 0.5000 0.2371 (multiplicity 2)  2 Ru 2.95
Y: 0.2997 0.5000 0.5199 (multiplicity 2)  3 Ru 2.88-3.12
Y: 0.3335 0.0000 0.7632 (multiplicity 2)  2 Ru 2.83
Y: 0.3639 0.0000 0.1393 (multiplicity 2)  1 Ru 3.19, 6 Y 3.44-3.53, 2 Er 3.57
Er: 0.0561 0.5000 0.6243 (multiplicity 2)  3 Ru 2.88-3.02
Er: 0.1734 0.5000 0.9038 (multiplicity 2)  2 Ru 2.89
Ru: 0.0041 0.0000 0.7629 (multiplicity 2)  4 Y 2.83-3.12, 4 Er 2.88-2.89
Ru: 0.3620 0.0000 0.3873 (multiplicity 2)  6 Y 2.80-2.95, 1 Er 3.02

Computed properties:
V: 27.74 Å³/atom
Energy of formation: -0.218 eV/atom
Total DFT energy (no corrections): -6.86 eV/atom

***

Look up the V of the second one.
27.74 Å³/atom

***

What is the V in the second record?
27.74 Å³/atom